Computed, not measured: Y3Co4 after structural relaxation at the PBE level of DFT.

Properties
space group: R-3, No. 148
excess energy over the best structure of this formula in the dataset: 185 meV per atom
final energy: -95.8 eV for the cell shown

POSCAR file:
```
Y3Co4
1.0
-6.817 -3.091 1.988
5.549 -0.590 5.370
-0.432 6.888 -3.514
Y Co
6 8
direct
0.099 0.451 0.199 Y
0.199 0.099 0.451 Y
0.451 0.199 0.099 Y
0.901 0.549 0.801 Y
0.801 0.901 0.549 Y
0.549 0.801 0.901 Y
0.500 0.500 0.500 Co
0.000 0.000 0.000 Co
0.944 0.302 0.490 Co
0.490 0.944 0.302 Co
0.302 0.490 0.944 Co
0.056 0.698 0.510 Co
0.510 0.056 0.698 Co
0.698 0.510 0.056 Co
```

=====

Computed, not measured: KH2IF8 after structural relaxation at the PBE level of DFT.

Properties
space group: P-1, No. 2
final energy: -46.0 eV for the cell shown

POSCAR file:
```
KH2IF8
1.0
4.915 0.795 0.280
0.850 4.952 -0.164
0.497 -0.228 7.918
K H I F
1 2 1 8
direct
0.000 0.000 0.500 K
0.324 0.443 0.686 H
0.676 0.557 0.314 H
0.000 0.000 0.000 I
0.206 0.781 0.178 F
0.752 0.762 0.006 F
0.744 0.259 0.206 F
0.794 0.219 0.822 F
0.248 0.238 0.994 F
0.256 0.741 0.794 F
0.653 0.693 0.410 F
0.347 0.307 0.590 F
```

=====

Computed, not measured: Y4Tl2Au after structural relaxation at the PBE level of DFT.

Properties
space group: R-3m, No. 166
final energy: -36.6 eV for the cell shown

POSCAR file:
```
Y4Tl2Au
1.0
-2.331 4.374 -1.669
-5.216 0.377 0.080
-2.162 4.796 7.394
Y Tl Au
4 2 1
direct
0.878 0.878 0.367 Y
0.122 0.122 0.633 Y
0.627 0.627 0.120 Y
0.373 0.373 0.880 Y
0.755 0.755 0.734 Tl
0.245 0.245 0.266 Tl
0.000 0.000 0.000 Au
```

=====

Computed, not measured: LaMn2FeCl after structural relaxation at the PBE level of DFT.

Properties
ΔE_f (raw): 181.2 meV/atom
space group: P4/mmm, No. 123
final energy: -32.7 eV for the cell shown

POSCAR file:
```
LaMn2FeCl
1.0
4.424 0.000 0.000
0.000 5.675 0.000
0.000 0.000 4.424
Cl Mn Fe La
1 2 1 1
direct
0.500 0.500 0.500 Cl
0.000 0.000 0.500 Mn
0.500 0.000 0.000 Mn
0.000 0.000 0.000 Fe
0.000 0.500 0.000 La
```

=====

Computed, not measured: LiThP2Ir5 after structural relaxation at the PBE level of DFT.

Properties
space group: P4/mmm, No. 123
final energy: -67.9 eV for the cell shown

POSCAR file:
```
LiThP2Ir5
1.0
-2.326 0.621 3.306
3.286 -0.439 2.394
1.644 9.196 -0.570
Li Th P Ir
1 1 2 5
direct
0.000 0.000 0.000 Li
0.000 0.000 0.500 Th
0.500 0.500 0.256 P
0.500 0.500 0.744 P
0.000 0.500 0.150 Ir
0.500 0.000 0.150 Ir
0.000 0.500 0.850 Ir
0.500 0.000 0.850 Ir
0.500 0.500 0.500 Ir
```

=====

Computed, not measured: ScInCl2 after structural relaxation at the PBE level of DFT.

Properties
ΔE_f (raw): -823.4 meV/atom
space group: I-42d, No. 122
excess energy over the best structure of this formula in the dataset: 447 meV per atom
final energy: -32.1 eV for the cell shown

POSCAR file:
```
ScInCl2
1.0
-3.795 3.034 -4.177
2.958 -2.970 -4.846
-4.900 -5.051 -4.131
Sc Cl In
2 4 2
direct
0.500 0.500 0.000 Sc
0.250 0.750 0.500 Sc
0.489 0.125 0.250 Cl
0.261 0.625 0.250 Cl
0.375 0.511 0.750 Cl
0.875 0.739 0.750 Cl
0.000 0.000 0.000 In
0.750 0.250 0.500 In
```

=====

Computed, not measured: Tb3Zn2SiNi9 after structural relaxation at the PBE level of DFT.

Properties
ΔE_f (raw): -88.1 meV/atom
space group: P-3m1, No. 164
final energy: -75.2 eV for the cell shown

POSCAR file:
```
Tb3Zn2SiNi9
1.0
-5.120 -0.801 -3.028
5.138 -2.243 -2.145
-1.326 -6.934 4.076
Tb Zn Si Ni
3 2 1 9
direct
0.333 0.667 0.693 Tb
0.000 0.000 0.000 Tb
0.667 0.333 0.307 Tb
0.333 0.667 0.193 Zn
0.667 0.333 0.807 Zn
0.000 0.000 0.500 Si
0.866 0.134 0.711 Ni
0.866 0.733 0.711 Ni
0.267 0.134 0.711 Ni
0.733 0.866 0.289 Ni
0.134 0.267 0.289 Ni
0.134 0.866 0.289 Ni
0.500 0.000 0.000 Ni
0.000 0.500 0.000 Ni
0.500 0.500 0.000 Ni
```

=====

Computed, not measured: NiBTe after structural relaxation at the PBE level of DFT.

Properties
ΔE_f (raw): 732.6 meV/atom
space group: F-43m, No. 216
final energy: -13.4 eV for the cell shown

POSCAR file:
```
NiBTe
1.0
-2.808 -0.471 2.871
1.114 -0.524 3.851
-0.636 2.936 2.706
Ni B Te
1 1 1
direct
0.750 0.750 0.750 Ni
0.500 0.500 0.500 B
0.000 0.000 0.000 Te
```

=====

Computed, not measured: CdPCl2 after structural relaxation at the PBE level of DFT.

Properties
ΔE_f (raw): -347.0 meV/atom
space group: Pm, No. 6
excess energy over the best structure of this formula in the dataset: 48 meV per atom
final energy: -11.4 eV for the cell shown

POSCAR file:
```
CdPCl2
1.0
-0.445 2.687 3.773
-0.837 -3.430 2.345
5.508 -2.793 2.638
Cd Cl P
1 2 1
direct
0.500 0.656 0.549 Cd
0.000 0.012 0.915 Cl
0.500 0.301 0.307 Cl
0.000 0.532 0.729 P
```

=====

Computed, not measured: MgMoCl after structural relaxation at the PBE level of DFT.

Properties
ΔE_f (raw): 191.2 meV/atom
space group: I4mm, No. 107
excess energy over the best structure of this formula in the dataset: 157 meV per atom
final energy: -13.7 eV for the cell shown

POSCAR file:
```
MgMoCl
1.0
6.460 -0.003 0.000
5.071 4.001 0.000
-5.765 -1.999 2.119
Cl Mg Mo
1 1 1
direct
0.024 0.024 0.000 Cl
0.316 0.316 0.000 Mg
0.659 0.659 0.000 Mo
```